(1)
# HgBi2Pt (GGA-PBE, optimized geometry)
# Space group ... R-3m (166)
# Uncorrected energy ... -3.6851 eV/atom
# Magnetization ... 0.0 μB/cell
# Calculated formation energy ... -0.159 eV per atom
data_HgBi2Pt
_chemical_formula_sum 'Hg1 Bi2 Pt1'
_space_group_name_H-M_alt 'P 1'
_space_group_IT_number 1
_cell_length_a 4.2653
_cell_length_b 4.2653
_cell_length_c 7.7987
_cell_angle_alpha 74.13
_cell_angle_beta 74.13
_cell_angle_gamma 60.00
loop_
_space_group_symop_operation_xyz
'x,y,z'
loop_
_atom_site_label
_atom_site_type_symbol
_atom_site_fract_x
_atom_site_fract_y
_atom_site_fract_z
Bi1 Bi 0.2733 0.2733 0.1801
Bi2 Bi 0.7267 0.7267 0.8199
Hg1 Hg 0.5000 0.5000 0.5000
Pt1 Pt 0.0000 0.0000 0.0000

---

(2)
# HgBiPt (GGA-PBE, optimized geometry)
# Space group ... F-43m (216)
# Uncorrected energy ... -3.5408 eV/atom
# Magnetization ... 0.0 μB/cell
# Distance to the lowest polymorph of the same formula ... 0.0000 eV per atom
# Calculated formation energy ... -0.133 eV per atom
data_HgBiPt
_chemical_formula_sum 'Hg1 Bi1 Pt1'
_space_group_name_H-M_alt 'P 1'
_space_group_IT_number 1
_cell_length_a 4.7175
_cell_length_b 4.7175
_cell_length_c 4.7175
_cell_angle_alpha 60.00
_cell_angle_beta 60.00
_cell_angle_gamma 60.00
loop_
_space_group_symop_operation_xyz
'x,y,z'
loop_
_atom_site_label
_atom_site_type_symbol
_atom_site_fract_x
_atom_site_fract_y
_atom_site_fract_z
Hg1 Hg 0.0000 0.0000 0.0000
Pt1 Pt 0.2500 0.2500 0.2500
Bi1 Bi 0.5000 0.5000 0.5000

---

(3)
# HgBi5Pt3 (GGA-PBE, optimized geometry)
# Space group ... C2/m (12)
# Uncorrected energy ... -4.2675 eV/atom
# Magnetization ... 0.0 μB/cell
# Calculated formation energy ... -0.064 eV per atom
data_HgBi5Pt3
_chemical_formula_sum 'Hg2 Bi10 Pt6'
_space_group_name_H-M_alt 'P 1'
_space_group_IT_number 1
_cell_length_a 7.6321
_cell_length_b 7.6321
_cell_length_c 10.1870
_cell_angle_alpha 71.81
_cell_angle_beta 71.81
_cell_angle_gamma 72.38
loop_
_space_group_symop_operation_xyz
'x,y,z'
loop_
_atom_site_label
_atom_site_type_symbol
_atom_site_fract_x
_atom_site_fract_y
_atom_site_fract_z
Pt1 Pt 0.6693 0.6693 0.8194
Pt2 Pt 0.3293 0.3293 0.6892
Pt3 Pt 0.0000 0.0000 0.0000
Pt4 Pt 0.6707 0.6707 0.3108
Pt5 Pt 0.0000 0.0000 0.5000
Pt6 Pt 0.3307 0.3307 0.1806
Bi1 Bi 0.2327 0.2327 0.9767
Bi2 Bi 0.6972 0.3028 0.0000
Bi3 Bi 0.3873 0.9785 0.3824
Bi4 Bi 0.4348 0.4348 0.3749
Bi5 Bi 0.0215 0.6127 0.6176
Bi6 Bi 0.9785 0.3873 0.3824
Bi7 Bi 0.7673 0.7673 0.0233
Bi8 Bi 0.5652 0.5652 0.6251
Bi9 Bi 0.6127 0.0215 0.6176
Bi10 Bi 0.3028 0.6972 0.0000
Hg1 Hg 0.0863 0.0863 0.7087
Hg2 Hg 0.9137 0.9137 0.2913

---

(4)
# PuHgBiPt (GGA-PBE, optimized geometry)
# Space group ... F-43m (216)
# Uncorrected energy ... -6.4181 eV/atom
# Magnetization ... 5.2 μB/cell
# Calculated formation energy ... -0.279 eV per atom
data_PuHgBiPt
_chemical_formula_sum 'Pu1 Hg1 Bi1 Pt1'
_space_group_name_H-M_alt 'P 1'
_space_group_IT_number 1
_cell_length_a 5.1209
_cell_length_b 5.1209
_cell_length_c 5.1209
_cell_angle_alpha 60.00
_cell_angle_beta 60.00
_cell_angle_gamma 60.00
loop_
_space_group_symop_operation_xyz
'x,y,z'
loop_
_atom_site_label
_atom_site_type_symbol
_atom_site_fract_x
_atom_site_fract_y
_atom_site_fract_z
Pt1 Pt 0.0000 0.0000 0.0000
Bi1 Bi 0.2500 0.2500 0.2500
Pu1 Pu 0.7500 0.7500 0.7500
Hg1 Hg 0.5000 0.5000 0.5000

---

(5)
# Rb2HgBiPt (GGA-PBE, optimized geometry)
# Space group ... P4/mmm (123)
# Uncorrected energy ... -2.5957 eV/atom
# Magnetization ... 0.0 μB/cell
# Calculated formation energy ... -0.164 eV per atom
data_Rb2HgBiPt
_chemical_formula_sum 'Rb2 Hg1 Bi1 Pt1'
_space_group_name_H-M_alt 'P 1'
_space_group_IT_number 1
_cell_length_a 6.6909
_cell_length_b 6.6909
_cell_length_c 5.1358
_cell_angle_alpha 90.00
_cell_angle_beta 90.00
_cell_angle_gamma 90.00
loop_
_space_group_symop_operation_xyz
'x,y,z'
loop_
_atom_site_label
_atom_site_type_symbol
_atom_site_fract_x
_atom_site_fract_y
_atom_site_fract_z
Hg1 Hg 0.5000 0.5000 0.5000
Rb1 Rb 0.5000 0.0000 0.0000
Rb2 Rb 0.0000 0.5000 0.0000
Bi1 Bi 0.0000 0.0000 0.5000
Pt1 Pt 0.0000 0.0000 0.0000

---

(6)
# RbHg2BiPt (GGA-PBE, optimized geometry)
# Space group ... P4/mmm (123)
# Uncorrected energy ... -2.4456 eV/atom
# Magnetization ... 0.0 μB/cell
# Calculated formation energy ... -0.147 eV per atom
data_RbHg2BiPt
_chemical_formula_sum 'Rb1 Hg2 Bi1 Pt1'
_space_group_name_H-M_alt 'P 1'
_space_group_IT_number 1
_cell_length_a 5.4102
_cell_length_b 5.4102
_cell_length_c 5.5186
_cell_angle_alpha 90.00
_cell_angle_beta 90.00
_cell_angle_gamma 90.00
loop_
_space_group_symop_operation_xyz
'x,y,z'
loop_
_atom_site_label
_atom_site_type_symbol
_atom_site_fract_x
_atom_site_fract_y
_atom_site_fract_z
Bi1 Bi 0.0000 0.0000 0.5000
Pt1 Pt 0.0000 0.0000 0.0000
Hg1 Hg 0.5000 0.0000 0.0000
Hg2 Hg 0.0000 0.5000 0.0000
Rb1 Rb 0.5000 0.5000 0.5000

---

(7)
# HgBiPtS2 (GGA-PBE, optimized geometry)
# Space group ... P4/mmm (123)
# Uncorrected energy ... -2.8746 eV/atom
# Formation energy from raw total energies ... 0.82 eV/atom
# Magnetization ... 0.0 μB/cell
data_HgBiPtS2
_chemical_formula_sum 'Hg1 Bi1 Pt1 S2'
_space_group_name_H-M_alt 'P 1'
_space_group_IT_number 1
_cell_length_a 4.9288
_cell_length_b 5.1603
_cell_length_c 4.9288
_cell_angle_alpha 90.00
_cell_angle_beta 90.00
_cell_angle_gamma 90.00
loop_
_space_group_symop_operation_xyz
'x,y,z'
loop_
_atom_site_label
_atom_site_type_symbol
_atom_site_fract_x
_atom_site_fract_y
_atom_site_fract_z
Hg1 Hg 0.0000 0.0000 0.0000
Bi1 Bi 0.5000 0.5000 0.5000
S1 S 0.5000 0.0000 0.0000
S2 S 0.0000 0.0000 0.5000
Pt1 Pt 0.0000 0.5000 0.0000

---

(8)
# Hg2BiPtSe (GGA-PBE, optimized geometry)
# Space group ... P4/mmm (123)
# Uncorrected energy ... -2.6403 eV/atom
# Formation energy from raw total energies ... 0.16 eV/atom
# Magnetization ... 0.0 μB/cell
data_Hg2BiPtSe
_chemical_formula_sum 'Hg2 Bi1 Pt1 Se1'
_space_group_name_H-M_alt 'P 1'
_space_group_IT_number 1
_cell_length_a 5.2188
_cell_length_b 5.3715
_cell_length_c 5.2188
_cell_angle_alpha 90.00
_cell_angle_beta 90.00
_cell_angle_gamma 90.00
loop_
_space_group_symop_operation_xyz
'x,y,z'
loop_
_atom_site_label
_atom_site_type_symbol
_atom_site_fract_x
_atom_site_fract_y
_atom_site_fract_z
Pt1 Pt 0.0000 0.0000 0.0000
Hg1 Hg 0.5000 0.0000 0.0000
Hg2 Hg 0.0000 0.0000 0.5000
Bi1 Bi 0.0000 0.5000 0.0000
Se1 Se 0.5000 0.5000 0.5000